CaCeSc2: optimized geometry, GGA-PBE.

Cell: 3.469 3.469 9.618 Å, 90.00 90.00 90.00°
Atoms (fractional coordinates):
Sc 0.000 0.000 0.778
Sc 0.000 0.000 0.222
Ca 0.500 0.500 0.500
Ce 0.500 0.500 0.000

Results
* formation energy: 3.155 kcal/mol of atoms
* SG: P4/mmm (123)

---

Er4Sc3Se8: optimized geometry, GGA-PBE.

Cell: 7.935 7.911 7.911 Å, 90.04 120.07 120.07°
Atoms (fractional coordinates):
Se 0.511 0.259 0.259
Se 0.000 0.744 0.256
Se 0.500 0.254 0.746
Se 0.489 0.741 0.741
Se 0.500 0.746 0.254
Se 0.000 0.256 0.744
Se 0.007 0.260 0.260
Se 0.993 0.740 0.740
Er 0.000 0.500 0.000
Er 0.000 0.000 0.500
Er 0.500 0.000 0.000
Er 0.000 0.000 0.000
Sc 0.500 0.500 0.500
Sc 0.500 0.000 0.500
Sc 0.500 0.500 0.000

Results
* energy relative to the elements, uncorrected: -1734 meV per atom
* SG: C2/m (12)

---

AcSnBiRh3: optimized geometry, GGA-PBE.

Cell: 5.935 5.939 9.015 Å, 109.23 90.00 90.00°
Atoms (fractional coordinates):
Rh 0.250 0.248 0.496
Rh 0.750 0.752 0.504
Rh 0.000 0.755 0.000
Rh 0.500 0.245 0.000
Rh 0.000 0.245 0.000
Rh 0.500 0.755 0.000
Sn 0.250 0.095 0.190
Sn 0.750 0.905 0.810
Ac 0.250 0.757 0.515
Ac 0.750 0.243 0.485
Bi 0.750 0.594 0.189
Bi 0.250 0.406 0.811

Results
* formation energy: -9.906 kcal/mol of atoms
* SG: Cmcm (63)

---

Pm4Th3Tc2: optimized geometry, GGA-PBE.

Cell: 3.886 8.882 8.922 Å, 114.03 102.58 90.00°
Atoms (fractional coordinates):
Th 0.086 0.195 0.171
Th 0.914 0.805 0.829
Th 0.000 0.500 0.000
Pm 0.609 0.869 0.218
Pm 0.227 0.655 0.454
Pm 0.391 0.131 0.782
Pm 0.773 0.345 0.546
Tc 0.402 0.578 0.805
Tc 0.598 0.422 0.195

Results
* formation energy: -1.071 kcal/mol of atoms
* SG: C2/m (12)